(1)
{"formula": "Y2TcI", "functional": "GGA-PBE", "state": "optimized geometry", "lattice_angstrom": [[0.000, 3.653, 3.653], [3.653, 0.000, 3.653], [3.653, 3.653, 0.000]], "species": ["Y", "Y", "Tc", "I"], "frac_coords": [[0.250, 0.250, 0.250], [0.750, 0.750, 0.750], [0.000, 0.000, 0.000], [0.500, 0.500, 0.500]], "e_tot_ry_per_atom": -0.44756, "e_above_lowest_polymorph_mev_per_atom": 498, "crystal_system": "cubic", "sg": "No. 225", "formation_energy_uncorrected_ev_per_atom": 0.1217}

(2)
{"formula": "Cs12Sb3Au5", "functional": "GGA-PBE", "state": "optimized geometry", "lattice_angstrom": [[-10.846, 10.846, 10.846], [10.846, -10.846, 10.846], [10.846, 10.846, -10.846]], "species": ["Cs", "Cs", "Cs", "Cs", "Cs", "Cs", "Cs", "Cs", "Cs", "Cs", "Cs", "Cs", "Cs", "Cs", "Cs", "Cs", "Cs", "Cs", "Cs", "Cs", "Cs", "Cs", "Cs", "Cs", "Cs", "Cs", "Cs", "Cs", "Cs", "Cs", "Cs", "Cs", "Cs", "Cs", "Cs", "Cs", "Cs", "Cs", "Cs", "Cs", "Cs", "Cs", "Cs", "Cs", "Cs", "Cs", "Cs", "Cs", "Sb", "Sb", "Sb", "Sb", "Sb", "Sb", "Sb", "Sb", "Sb", "Sb", "Sb", "Sb", "Au", "Au", "Au", "Au", "Au", "Au", "Au", "Au", "Au", "Au", "Au", "Au", "Au", "Au", "Au", "Au", "Au", "Au", "Au", "Au"], "frac_coords": [[0.051, 0.222, 0.137], [0.051, 0.328, 0.913], [0.085, 0.722, 0.672], [0.085, 0.863, 0.413], [0.087, 0.637, 0.415], [0.087, 0.949, 0.672], [0.137, 0.051, 0.222], [0.137, 0.587, 0.915], [0.172, 0.222, 0.585], [0.172, 0.449, 0.587], [0.222, 0.137, 0.051], [0.222, 0.585, 0.172], [0.278, 0.328, 0.915], [0.278, 0.449, 0.363], [0.328, 0.913, 0.051], [0.328, 0.915, 0.278], [0.363, 0.278, 0.449], [0.363, 0.585, 0.913], [0.413, 0.085, 0.863], [0.413, 0.828, 0.551], [0.415, 0.087, 0.637], [0.415, 0.828, 0.778], [0.449, 0.363, 0.278], [0.449, 0.587, 0.172], [0.551, 0.413, 0.828], [0.551, 0.637, 0.722], [0.585, 0.172, 0.222], [0.585, 0.913, 0.363], [0.587, 0.172, 0.449], [0.587, 0.915, 0.137], [0.637, 0.415, 0.087], [0.637, 0.722, 0.551], [0.672, 0.085, 0.722], [0.672, 0.087, 0.949], [0.722, 0.551, 0.637], [0.722, 0.672, 0.085], [0.778, 0.415, 0.828], [0.778, 0.863, 0.949], [0.828, 0.551, 0.413], [0.828, 0.778, 0.415], [0.863, 0.413, 0.085], [0.863, 0.949, 0.778], [0.913, 0.051, 0.328], [0.913, 0.363, 0.585], [0.915, 0.137, 0.587], [0.915, 0.278, 0.328], [0.949, 0.672, 0.087], [0.949, 0.778, 0.863], [0.125, 0.250, 0.375], [0.125, 0.375, 0.750], [0.250, 0.375, 0.125], [0.250, 0.875, 0.625], [0.375, 0.125, 0.250], [0.375, 0.750, 0.125], [0.625, 0.250, 0.875], [0.625, 0.875, 0.750], [0.750, 0.125, 0.375], [0.750, 0.625, 0.875], [0.875, 0.625, 0.250], [0.875, 0.750, 0.625], [0.000, 0.000, 0.000], [0.000, 0.000, 0.500], [0.000, 0.500, 0.000], [0.000, 0.500, 0.500], [0.125, 0.750, 0.875], [0.125, 0.875, 0.250], [0.250, 0.125, 0.875], [0.250, 0.625, 0.375], [0.375, 0.250, 0.625], [0.375, 0.625, 0.750], [0.500, 0.000, 0.000], [0.500, 0.000, 0.500], [0.500, 0.500, 0.000], [0.500, 0.500, 0.500], [0.625, 0.375, 0.250], [0.625, 0.750, 0.375], [0.750, 0.375, 0.625], [0.750, 0.875, 0.125], [0.875, 0.125, 0.750], [0.875, 0.250, 0.125]], "e_tot_ry_per_atom": -0.16313, "crystal_system": "cubic", "sg": "No. 230", "formation_energy_uncorrected_ev_per_atom": -0.2697}

(3)
{"formula": "YRuO3", "functional": "GGA-PBE", "state": "optimized geometry", "lattice_angstrom": [[4.270, 0.000, 0.000], [0.000, 4.270, 0.000], [0.000, 0.000, 4.270]], "species": ["Y", "Ru", "O", "O", "O"], "frac_coords": [[0.000, 0.000, 0.000], [0.500, 0.500, 0.500], [0.000, 0.000, 0.500], [0.000, 0.500, 0.000], [0.500, 0.000, 0.000]], "e_tot_ry_per_atom": -0.50142, "crystal_system": "cubic", "sg": "No. 221", "formation_energy_uncorrected_ev_per_atom": -0.6993}

(4)
{"formula": "KTc2Ir", "functional": "GGA-PBE", "state": "optimized geometry", "lattice_angstrom": [[2.806, 0.000, 0.000], [0.000, 4.909, 0.000], [0.000, 0.000, 4.911]], "species": ["K", "Tc", "Tc", "Ir"], "frac_coords": [[0.000, 0.000, 0.000], [0.000, 0.500, 0.500], [0.500, 0.500, 0.000], [0.500, 0.000, 0.500]], "e_tot_ry_per_atom": -0.46620, "e_above_lowest_polymorph_mev_per_atom": 727, "crystal_system": "orthorhombic", "sg": "No. 47", "ef_ev_per_atom": 1.330}

(5)
{"formula": "Pm4As2AuSe", "functional": "GGA-PBE", "state": "optimized geometry", "lattice_angstrom": [[7.329, 0.000, 0.000], [0.000, 4.225, 0.000], [-2.399, 0.000, 6.988]], "species": ["Pm", "Pm", "Pm", "Pm", "As", "As", "Au", "Se"], "frac_coords": [[0.238, 0.000, 0.241], [0.239, 0.500, 0.750], [0.761, 0.500, 0.250], [0.762, 0.000, 0.759], [0.000, 0.000, 0.500], [0.000, 0.500, 0.000], [0.500, 0.500, 0.500], [0.500, 0.000, 0.000]], "e_tot_ry_per_atom": -0.42591, "crystal_system": "monoclinic", "sg": "No. 10", "formation_energy_uncorrected_ev_per_atom": -1.4118}

- What is the formula in the first record?
  Y2TcI

- What is the formula in the third record?
  YRuO3